U2Tl2FeS6 after structural relaxation. Source: Alexandria, functional GGA-PBE.

Output
DOS(E_F): 1.454 states/eV per atom
Spin magnetization: 4.0 μB per formula unit
Calculated volume: 275.29 Å³/cell
E_form (uncorrected): -9.09 eV/f.u.

Unit cell a=6.353 b=6.353 c=8.158 alpha=98.24 beta=98.24 gamma=119.33
Last column: magnetic moment on the atom in μB.
Element x y z (fractional)
U: 0.333 0.667 0.500  1.98
U: 0.667 0.333 0.500  1.98
Tl: 0.824 0.176 0.000  0.01
Tl: 0.176 0.824 0.000  0.01
Fe: 0.000 0.000 0.500  -0.07
S: 0.774 0.774 0.688  -0.05
S: 0.070 0.370 0.688  -0.06
S: 0.226 0.226 0.312  -0.05
S: 0.370 0.070 0.688  -0.06
S: 0.930 0.630 0.312  -0.06
S: 0.630 0.930 0.312  -0.06